VASP calculation (PBE-GGA) on a relaxed structure of BMoBr2.

```
data_BMoBr2
_space_group_name_H-M_alt 'F m -3 m'
_space_group_IT_number 225
_space_group_name_Hall '-F 4 2 3'
_cell_length_a 6.427
_cell_length_b 6.427
_cell_length_c 6.427
_cell_angle_alpha 90.00
_cell_angle_beta 90.00
_cell_angle_gamma 90.00
loop_
_atom_site_label
_atom_site_type_symbol
_atom_site_fract_x
_atom_site_fract_y
_atom_site_fract_z
B1 B 0.000 0.000 0.000
Mo1 Mo 0.000 0.000 0.500
Br1 Br 0.250 0.250 0.250
```

Values from the calculation:
Raw total energy ... -3.813 eV/atom
ρ ... 6.7 g/cm³
Polymorph energy (0 for the lowest one) ... 55 meV/atom
Uncorrected formation energy ... 1.40 eV per atom



VASP calculation (PBE-GGA) on a relaxed structure of Ti5H4.

```
data_Ti5H4
_space_group_name_H-M_alt 'I 4/m'
_space_group_IT_number 87
_space_group_name_Hall '-I 4'
_cell_length_a 7.632
_cell_length_b 7.632
_cell_length_c 3.271
_cell_angle_alpha 90.00
_cell_angle_beta 90.00
_cell_angle_gamma 90.00
loop_
_atom_site_label
_atom_site_type_symbol
_atom_site_fract_x
_atom_site_fract_y
_atom_site_fract_z
Ti1 Ti 0.000 0.000 0.000
Ti2 Ti 0.101 0.304 0.500
H1 H 0.004 0.755 0.000
```

Values from the calculation:
Raw total energy ... -6.144 eV/atom
ρ ... 4.2 g/cm³
Polymorph energy (0 for the lowest one) ... 0 meV/atom